(1)
Nd2PuAs3 after structural relaxation, computed with PBE.

Space-group type: P-3m1 (164)
DFT total energy in eV per atom: -7.65
Magnetic moment in μB/f.u.: 4.94

abc: 4.2335 4.2335 10.3073
angles: 90.00 90.00 120.00
Closest atoms and distances in Å follow each position.
Sites, in units of the cell vectors:
Nd: 0.3333 0.6667 0.3318  6 As 3.00-3.04
Nd: 0.6667 0.3333 0.6682  6 As 3.00-3.04
Pu: 0.0000 0.0000 0.0000  6 As 2.93
As: 0.0000 0.0000 0.5000  6 Nd 3.00
As: 0.3333 0.6667 0.8439  3 Pu 2.93, 3 Nd 3.04
As: 0.6667 0.3333 0.1561  3 Pu 2.93, 3 Nd 3.04

(2)
RbNdAs after structural relaxation, computed with PBE.

Space-group type: Cmc2_1 (36)
DFT total energy in eV per atom: -4.02
Magnetic moment in μB/f.u.: 0.65

abc: 7.8440 7.8440 6.2220
angles: 90.00 90.00 145.94
Closest atoms and distances in Å follow each position.
Sites, in units of the cell vectors:
Rb: 0.0009 0.9991 0.5000  2 Rb 3.11
Rb: 0.9991 0.0009 0.0000  2 Rb 3.11
Nd: 0.2816 0.7184 0.7612  4 As 2.90-3.23
Nd: 0.7184 0.2816 0.2612  4 As 2.90-3.23
As: 0.3368 0.6632 0.2589  4 Nd 2.90-3.23
As: 0.6632 0.3368 0.7589  4 Nd 2.90-3.23

(3)
Rb3NdAs2 after structural relaxation, computed with PBE.

Space-group type: C2/c (15)
DFT total energy in eV per atom: -3.04
Magnetic moment in μB/f.u.: 0.00

abc: 8.2027 8.2027 8.7475
angles: 95.21 95.21 88.48
Closest atoms and distances in Å follow each position.
Sites, in units of the cell vectors:
Rb: 0.1986 0.8014 0.7500  4 As 3.57-3.81
Rb: 0.2513 0.3272 0.0311  2 As 3.55
Rb: 0.3272 0.2513 0.5311  2 As 3.55
Rb: 0.6728 0.7487 0.4689  2 As 3.55
Rb: 0.7487 0.6728 0.9689  2 As 3.55
Rb: 0.8014 0.1986 0.2500  4 As 3.57-3.81
Nd: 0.1941 0.8059 0.2500  2 As 2.75
Nd: 0.8059 0.1941 0.7500  2 As 2.75
As: 0.0609 0.5681 0.3999  1 As 2.46, 1 Nd 2.75
As: 0.4319 0.9391 0.1001  1 As 2.46, 1 Nd 2.75
As: 0.5681 0.0609 0.8999  1 As 2.46, 1 Nd 2.75
As: 0.9391 0.4319 0.6001  1 As 2.46, 1 Nd 2.75

(4)
RbNdAs after structural relaxation, computed with PBE.

Space-group type: F-43m (216)
DFT total energy in eV per atom: -3.77
Magnetic moment in μB/f.u.: 0.01

abc: 5.2722 5.2722 5.2722
angles: 60.00 60.00 60.00
Closest atoms and distances in Å follow each position.
Sites, in units of the cell vectors:
Rb: 0.0000 0.0000 0.0000  4 As 3.23
Nd: 0.5000 0.5000 0.5000  4 As 3.23
As: 0.7500 0.7500 0.7500  4 Nd 3.23, 4 Rb 3.23